(1)
# LaYAu3, optimized geometry, DFT PBE-GGA
data_LaYAu3
_chemical_formula_sum 'La1 Y1 Au3'
_symmetry_space_group_name_H-M 'P m -3 m'
_symmetry_Int_Tables_number 221
_symmetry_space_group_name_Hall '-P 4 2 3'
_cell_length_a 5.2974
_cell_length_b 5.2974
_cell_length_c 5.2974
_cell_angle_alpha 90.00
_cell_angle_beta 90.00
_cell_angle_gamma 90.00
loop_
_atom_site_label
_atom_site_type_symbol
_atom_site_fract_x
_atom_site_fract_y
_atom_site_fract_z
_atom_site_occupancy
La1 La 0.0000 0.0000 0.0000 1
Y1 Y 0.5000 0.5000 0.5000 1
Au1 Au 0.0000 0.5000 0.5000 1
# Final energy (eV for the cell shown): -22.1

---

(2)
# LaY2Au, optimized geometry, DFT PBE-GGA
data_LaY2Au
_chemical_formula_sum 'La3 Y6 Au3'
_symmetry_space_group_name_H-M 'R 3 m'
_symmetry_Int_Tables_number 160
_symmetry_space_group_name_Hall 'R 3 -2"'
_cell_length_a 3.7610
_cell_length_b 3.7610
_cell_length_c 30.4541
_cell_angle_alpha 90.00
_cell_angle_beta 90.00
_cell_angle_gamma 120.00
loop_
_atom_site_label
_atom_site_type_symbol
_atom_site_fract_x
_atom_site_fract_y
_atom_site_fract_z
_atom_site_occupancy
La1 La 0.0000 0.0000 0.0000 1
Y1 Y 0.0000 0.0000 0.2370 1
Y2 Y 0.0000 0.0000 0.4746 1
Au1 Au 0.0000 0.0000 0.7416 1
# Final energy (eV for the cell shown): -66.7

---

(3)
# LaY2Au, optimized geometry, DFT PBE-GGA
data_LaY2Au
_chemical_formula_sum 'La2 Y4 Au2'
_symmetry_space_group_name_H-M 'C 1 2/m 1'
_symmetry_Int_Tables_number 12
_cell_length_a 12.8061
_cell_length_b 3.7190
_cell_length_c 5.5585
_cell_angle_alpha 90.00
_cell_angle_beta 115.66
_cell_angle_gamma 90.00
loop_
_symmetry_equiv_pos_as_xyz
'x,y,z'
'-x,-y,-z'
'-x,y,-z'
'x,-y,z'
'x+1/2,y+1/2,z'
'-x+1/2,-y+1/2,-z'
'-x+1/2,y+1/2,-z'
'x+1/2,-y+1/2,z'
loop_
_atom_site_label
_atom_site_type_symbol
_atom_site_fract_x
_atom_site_fract_y
_atom_site_fract_z
_atom_site_occupancy
La1 La 0.0000 0.0000 0.0000 1
Y1 Y 0.2075 0.0000 0.7074 1
Au1 Au 0.0000 0.5000 0.5000 1
# Final energy (eV for the cell shown): -45.3

---

(4)
# LaYAu3, optimized geometry, DFT PBE-GGA
data_LaYAu3
_chemical_formula_sum 'La1 Y1 Au3'
_symmetry_space_group_name_H-M 'P m -3 m'
_symmetry_Int_Tables_number 221
_symmetry_space_group_name_Hall '-P 4 2 3'
_cell_length_a 5.4272
_cell_length_b 5.4272
_cell_length_c 5.4272
_cell_angle_alpha 90.00
_cell_angle_beta 90.00
_cell_angle_gamma 90.00
loop_
_atom_site_label
_atom_site_type_symbol
_atom_site_fract_x
_atom_site_fract_y
_atom_site_fract_z
_atom_site_occupancy
La1 La 0.0000 0.0000 0.0000 1
Y1 Y 0.5000 0.5000 0.5000 1
Au1 Au 0.0000 0.0000 0.5000 1
# Final energy (eV for the cell shown): -20.8

---

(5)
# La5YAu6, optimized geometry, DFT PBE-GGA
data_La5YAu6
_chemical_formula_sum 'La10 Y2 Au12'
_symmetry_space_group_name_H-M 'C 1 2/m 1'
_symmetry_Int_Tables_number 12
_cell_length_a 16.8154
_cell_length_b 7.4825
_cell_length_c 5.3038
_cell_angle_alpha 90.00
_cell_angle_beta 108.30
_cell_angle_gamma 90.00
loop_
_symmetry_equiv_pos_as_xyz
'x,y,z'
'-x,-y,-z'
'-x,y,-z'
'x,-y,z'
'x+1/2,y+1/2,z'
'-x+1/2,-y+1/2,-z'
'-x+1/2,y+1/2,-z'
'x+1/2,-y+1/2,z'
loop_
_atom_site_label
_atom_site_type_symbol
_atom_site_fract_x
_atom_site_fract_y
_atom_site_fract_z
_atom_site_occupancy
La1 La 0.0000 0.0000 0.0000 1
La2 La 0.1646 0.0000 0.6645 1
La3 La 0.1703 0.5000 0.6702 1
Y1 Y 0.0000 0.5000 0.0000 1
Au1 Au 0.0000 0.2726 0.5000 1
Au2 Au 0.1598 0.2616 0.1597 1
# Final energy (eV for the cell shown): -120.5

---

(6)
# La4YAu5, optimized geometry, DFT PBE-GGA
data_La4YAu5
_chemical_formula_sum 'La4 Y1 Au5'
_symmetry_space_group_name_H-M 'P 4/m m m'
_symmetry_Int_Tables_number 123
_symmetry_space_group_name_Hall '-P 4 2'
_cell_length_a 3.7130
_cell_length_b 3.7130
_cell_length_c 19.0539
_cell_angle_alpha 90.00
_cell_angle_beta 90.00
_cell_angle_gamma 90.00
loop_
_atom_site_label
_atom_site_type_symbol
_atom_site_fract_x
_atom_site_fract_y
_atom_site_fract_z
_atom_site_occupancy
La1 La 0.0000 0.0000 0.1017 1
La2 La 0.0000 0.0000 0.3052 1
Y1 Y 0.0000 0.0000 0.5000 1
Au1 Au 0.5000 0.5000 0.0000 1
Au2 Au 0.5000 0.5000 0.2031 1
Au3 Au 0.5000 0.5000 0.4117 1
# Final energy (eV for the cell shown): -50.5

---

(7)
# LaY2Au, optimized geometry, DFT PBE-GGA
data_LaY2Au
_chemical_formula_sum 'La4 Y8 Au4'
_symmetry_space_group_name_H-M 'P n m a'
_symmetry_Int_Tables_number 62
_cell_length_a 7.0614
_cell_length_b 10.1939
_cell_length_c 6.7142
_cell_angle_alpha 90.00
_cell_angle_beta 90.00
_cell_angle_gamma 90.00
loop_
_symmetry_equiv_pos_as_xyz
'x,y,z'
'-x,-y,-z'
'-x+1/2,-y,z+1/2'
'x+1/2,y,-z+1/2'
'x+1/2,-y+1/2,-z+1/2'
'-x+1/2,y+1/2,z+1/2'
'-x,y+1/2,-z'
'x,-y+1/2,z'
loop_
_atom_site_label
_atom_site_type_symbol
_atom_site_fract_x
_atom_site_fract_y
_atom_site_fract_z
_atom_site_occupancy
La1 La 0.0009 0.2500 0.1315 1
Y1 Y 0.1799 0.0522 0.6763 1
Au1 Au 0.1112 0.7500 0.4234 1
# Final energy (eV for the cell shown): -91.5

---

(8)
# LaYAu2, optimized geometry, DFT PBE-GGA
data_LaYAu2
_chemical_formula_sum 'La1 Y1 Au2'
_symmetry_space_group_name_H-M 'P m m m'
_symmetry_Int_Tables_number 47
_cell_length_a 3.6434
_cell_length_b 3.6761
_cell_length_c 7.5145
_cell_angle_alpha 90.00
_cell_angle_beta 90.00
_cell_angle_gamma 90.00
loop_
_symmetry_equiv_pos_as_xyz
'x,y,z'
'-x,-y,-z'
'-x,-y,z'
'x,y,-z'
'x,-y,-z'
'-x,y,z'
'-x,y,-z'
'x,-y,z'
loop_
_atom_site_label
_atom_site_type_symbol
_atom_site_fract_x
_atom_site_fract_y
_atom_site_fract_z
_atom_site_occupancy
La1 La 0.0000 0.0000 0.0000 1
Y1 Y 0.0000 0.0000 0.5000 1
Au1 Au 0.5000 0.5000 0.2750 1
# Final energy (eV for the cell shown): -21.2

---

no.,M_tot (μB/cell)
1,0.00
2,0.02
3,0.00
4,0.00
5,0.00
6,0.00
7,0.00
8,0.00